Entry 1:
## Zr4CdCl (PBE-GGA)

Data for a relaxed Zr4CdCl crystal.

abc: 8.292 8.292 8.292
angles: 90.00 90.00 90.00
Space group F-43m (No. 216)
Inequivalent atoms, fractional coordinates:
Zr 0.122 0.122 0.122 x16
Cd 0.250 0.250 0.750 x4
Cl 0.000 0.000 0.500 x4

Computed properties:
- Magnetization: 0.000 μB per atom
- E: -5.77 eV/atom
- Energy relative to the elements, uncorrected: 391 meV per atom


Entry 2:
## ZrCd2Cl8 (PBE-GGA)

Data for a relaxed ZrCd2Cl8 crystal.

abc: 16.952 6.900 6.391
angles: 90.00 96.35 90.00
Space group C2/m (No. 12)
Inequivalent atoms, fractional coordinates:
Zr 0.000 0.000 0.000 x2
Cd 0.158 0.000 0.459 x4
Cl 0.057 0.248 0.256 x8
Cl 0.130 0.000 0.843 x4
Cl 0.208 0.500 0.618 x4

Computed properties:
- Magnetization: 0.013 μB per atom
- E: -3.60 eV/atom
- Energy relative to the elements, uncorrected: -1311 meV per atom


Entry 3:
## ZrCd2Cl (PBE-GGA)

Data for a relaxed ZrCd2Cl crystal.

abc: 4.455 4.455 8.787
angles: 90.00 90.00 90.00
Space group I-4m2 (No. 119)
Inequivalent atoms, fractional coordinates:
Zr 0.000 0.000 0.000 x2
Cd 0.000 0.000 0.500 x2
Cd 0.000 0.500 0.750 x2
Cl 0.000 0.500 0.250 x2

Computed properties:
- Magnetization: 0.000 μB per atom
- E: -3.09 eV/atom
- Energy relative to the elements, uncorrected: -32 meV per atom